Entry 1:
Crystalline Tm7Mg2Ru2 at its relaxed geometry, computed with PBE.

## Properties
**Formation enthalpy at 0 K**: -0.089 eV per atom
**Space-group type**: Cmmm (65)
**E_tot**: -4.911 eV/atom

a b c (Å): 6.7111 6.7111 7.1371
angles (deg): 90.00 90.00 106.99
Fractional coordinates of all 11 atoms:
Tm (0.0000, 0.0000, 0.0000)
Tm (0.0000, 0.5000, 0.2461)
Tm (0.0000, 0.5000, 0.7539)
Tm (0.5000, 0.0000, 0.2461)
Tm (0.5000, 0.0000, 0.7539)
Tm (0.5000, 0.5000, 0.2354)
Tm (0.5000, 0.5000, 0.7646)
Mg (0.1741, 0.1741, 0.5000)
Mg (0.8259, 0.8259, 0.5000)
Ru (0.2904, 0.7096, 0.0000)
Ru (0.7096, 0.2904, 0.0000)



Entry 2:
Crystalline Cr2H2Rh at its relaxed geometry, computed with PBE.

## Properties
**Space-group type**: P4/mbm (127)
**E_tot**: -6.487 eV/atom
**Excess energy over the best structure of this formula in the dataset**: 164 meV/atom

a b c (Å): 5.7069 5.7069 2.6690
angles (deg): 90.00 90.00 90.00
Fractional coordinates of all 10 atoms:
Cr (0.1273, 0.3727, 0.0000)
Cr (0.3727, 0.8727, 0.0000)
Cr (0.6273, 0.1273, 0.0000)
Cr (0.8727, 0.6273, 0.0000)
H (0.1365, 0.6365, 0.5000)
H (0.3635, 0.1365, 0.5000)
H (0.6365, 0.8635, 0.5000)
H (0.8635, 0.3635, 0.5000)
Rh (0.0000, 0.0000, 0.5000)
Rh (0.5000, 0.5000, 0.5000)



Entry 3:
Crystalline NbIrSe2 at its relaxed geometry, computed with PBE.

## Properties
**Raw formation energy**: 274 meV/atom
**Space-group type**: R-3m (166)
**E_tot**: -6.201 eV/atom
**Excess energy over the best structure of this formula in the dataset**: 416 meV/atom

a b c (Å): 8.3724 8.3724 8.3724
angles (deg): 23.73 23.73 23.73
Fractional coordinates of all 4 atoms:
Nb (0.0000, 0.0000, 0.0000)
Ir (0.5000, 0.5000, 0.5000)
Se (0.1057, 0.1057, 0.1057)
Se (0.8943, 0.8943, 0.8943)



Entry 4:
Crystalline Mn4VCo at its relaxed geometry, computed with PBE.

## Properties
**Formation enthalpy at 0 K**: 0.060 eV per atom
**Space-group type**: F-43m (216)
**E_tot**: -8.757 eV/atom

a b c (Å): 4.5977 4.5977 4.5977
angles (deg): 60.00 60.00 60.00
Fractional coordinates of all 6 atoms:
Mn (0.1237, 0.1237, 0.1237)
Mn (0.1237, 0.1237, 0.6289)
Mn (0.1237, 0.6289, 0.1237)
Mn (0.6289, 0.1237, 0.1237)
V (0.5000, 0.5000, 0.5000)
Co (0.7500, 0.7500, 0.7500)



Q: What is the E_tot in the fourth record?
A: -8.757 eV/atom